{
  "formula": "AcPrPu4",
  "functional": "PBE",
  "state": "optimized geometry",
  "spacegroup": "No. 216",
  "formation_energy_mev_per_atom": 259.1,
  "cell": [[6.350, 0.000, 0.000], [3.175, 5.499, 0.000], [3.175, 1.833, 5.185]],
  "species": ["Pr", "Ac", "Pu", "Pu", "Pu", "Pu"],
  "frac_coords": [[0.000, 0.000, 0.000], [0.250, 0.250, 0.250], [0.625, 0.625, 0.124], [0.625, 0.124, 0.625], [0.625, 0.625, 0.625], [0.124, 0.625, 0.625]]
}

***

{
  "formula": "Sc2AlF",
  "functional": "PBE",
  "state": "optimized geometry",
  "spacegroup": "No. 122",
  "de_polymorph_mev_per_atom": 73,
  "formation_energy_uncorrected_ev_per_atom": -1.18,
  "cell": [[6.626, 0.000, 0.000], [0.000, 6.626, 0.000], [3.313, 3.313, 3.430]],
  "species": ["Sc", "Sc", "Sc", "Sc", "Al", "Al", "F", "F"],
  "frac_coords": [[0.538, 0.125, 0.250], [0.212, 0.625, 0.250], [0.375, 0.462, 0.750], [0.875, 0.788, 0.750], [0.000, 0.000, 0.000], [0.750, 0.250, 0.500], [0.500, 0.500, 0.000], [0.250, 0.750, 0.500]]
}

***

{
  "formula": "Dy3Sc4",
  "functional": "PBE",
  "state": "optimized geometry",
  "spacegroup": "No. 12",
  "formation_energy_mev_per_atom": 54.0,
  "cell": [[4.574, 0.000, -1.519], [-0.409, 7.475, -1.233], [-0.621, 0.118, 5.776]],
  "species": ["Dy", "Dy", "Dy", "Sc", "Sc", "Sc", "Sc"],
  "frac_coords": [[0.000, 0.000, 0.000], [0.574, 0.715, 0.149], [0.426, 0.285, 0.851], [0.856, 0.567, 0.713], [0.144, 0.433, 0.287], [0.713, 0.148, 0.427], [0.287, 0.852, 0.573]]
}

***

{
  "formula": "ZrCd2Hg",
  "functional": "PBE",
  "state": "optimized geometry",
  "spacegroup": "No. 11",
  "formation_energy_mev_per_atom": -88.6,
  "cell": [[-3.458, 1.207, 2.934], [-4.280, -0.993, -4.635], [0.969, -5.203, 3.282]],
  "species": ["Zr", "Zr", "Cd", "Cd", "Cd", "Cd", "Hg", "Hg"],
  "frac_coords": [[0.250, 0.397, 0.136], [0.750, 0.603, 0.864], [0.250, 0.806, 0.670], [0.750, 0.194, 0.330], [0.250, 0.893, 0.169], [0.750, 0.107, 0.831], [0.250, 0.308, 0.631], [0.750, 0.692, 0.369]]
}

***

{
  "formula": "Pr4Sm3Th",
  "functional": "PBE",
  "state": "optimized geometry",
  "spacegroup": "No. 12",
  "de_polymorph_mev_per_atom": 131,
  "formation_energy_mev_per_atom": 158.5,
  "cell": [[3.491, 0.000, -0.440], [-0.185, 6.824, -1.465], [-0.253, -0.976, 12.050]],
  "species": ["Pr", "Pr", "Pr", "Pr", "Th", "Sm", "Sm", "Sm"],
  "frac_coords": [[0.742, 0.239, 0.485], [0.258, 0.761, 0.515], [0.121, 0.360, 0.243], [0.879, 0.640, 0.757], [0.500, 0.000, 0.000], [0.000, 0.500, 0.000], [0.122, 0.884, 0.243], [0.878, 0.116, 0.757]]
}

***

{
  "formula": "TbTh3Pb4",
  "functional": "PBE",
  "state": "optimized geometry",
  "spacegroup": "No. 59",
  "formation_energy_mev_per_atom": -288.4,
  "cell": [[-3.070, 2.745, -4.961], [-5.341, 0.494, 3.579], [3.804, 11.616, 4.072]],
  "species": ["Tb", "Tb", "Th", "Th", "Th", "Th", "Th", "Th", "Pb", "Pb", "Pb", "Pb", "Pb", "Pb", "Pb", "Pb"],
  "frac_coords": [[0.065, 0.249, 0.000], [0.565, 0.751, 0.500], [0.564, 0.750, 0.000], [0.064, 0.750, 0.250], [0.564, 0.250, 0.250], [0.064, 0.250, 0.500], [0.564, 0.250, 0.750], [0.064, 0.750, 0.750], [0.064, 0.749, 0.000], [0.565, 0.250, 0.000], [0.064, 0.250, 0.248], [0.564, 0.750, 0.252], [0.065, 0.750, 0.500], [0.564, 0.251, 0.500], [0.564, 0.750, 0.748], [0.064, 0.250, 0.752]]
}